(1)
This record from the Alexandria database describes a geometry-optimized Mg2BePN4 structure. The functional is PBE.

Properties
E_form (uncorrected)   -0.713 eV per atom
Space group   Pmn2_1
Fermi-level density of states   7.13 states/eV/cell

a b c (Å): 5.9448 5.6099 4.9657
angles (deg): 90.00 90.00 90.00
Element x y z (fractional)
Mg 0.2472 0.1720 0.0000
Mg 0.2528 0.8280 0.5000
Mg 0.7472 0.8280 0.5000
Mg 0.7528 0.1720 0.0000
Be 0.0000 0.3556 0.5082
Be 0.5000 0.6444 0.0082
P 0.0000 0.6587 0.0046
P 0.5000 0.3413 0.5046
N 0.0000 0.3964 0.8545
N 0.0000 0.6236 0.3359
N 0.2342 0.8068 0.9255
N 0.2658 0.1932 0.4255
N 0.5000 0.3764 0.8359
N 0.5000 0.6036 0.3545
N 0.7342 0.1932 0.4255
N 0.7658 0.8068 0.9255

---

(2)
This record from the Alexandria database describes a geometry-optimized MgBe2PN4 structure. The functional is PBE.

Properties
E_form (uncorrected)   -0.787 eV per atom
Space group   Pmn2_1
Fermi-level density of states   7.69 states/eV/cell

a b c (Å): 6.1400 4.9793 4.7352
angles (deg): 90.00 90.00 90.00
Element x y z (fractional)
Mg 0.0000 0.1814 0.0000
Mg 0.5000 0.8186 0.5000
Be 0.2483 0.6692 0.0159
Be 0.2517 0.3308 0.5159
Be 0.7483 0.3308 0.5159
Be 0.7517 0.6692 0.0159
P 0.0000 0.8075 0.5184
P 0.5000 0.1925 0.0184
N 0.0000 0.1350 0.4491
N 0.0000 0.7787 0.8655
N 0.2091 0.6500 0.3797
N 0.2909 0.3500 0.8797
N 0.5000 0.2213 0.3655
N 0.5000 0.8650 0.9491
N 0.7091 0.3500 0.8797
N 0.7909 0.6500 0.3797

---

(3)
This record from the Alexandria database describes a geometry-optimized Mg3Pa3BeN8 structure. The functional is PBE.

Properties
E_form (uncorrected)   -0.892 eV per atom
Space group   C2/m
Fermi-level density of states   7.36 states/eV/cell

a b c (Å): 6.3722 6.3722 6.5510
angles (deg): 117.67 117.67 65.78
Element x y z (fractional)
Mg 0.0000 0.0000 0.0000
Mg 0.0000 0.5000 0.5000
Mg 0.5000 0.0000 0.5000
Pa 0.0000 0.5000 0.0000
Pa 0.5000 0.0000 0.0000
Pa 0.5000 0.5000 0.5000
Be 0.0000 0.0000 0.5000
N 0.1975 0.1975 0.7121
N 0.2441 0.2441 0.2411
N 0.2595 0.7312 0.2514
N 0.2688 0.7405 0.7486
N 0.7312 0.2595 0.2514
N 0.7405 0.2688 0.7486
N 0.7559 0.7559 0.7589
N 0.8025 0.8025 0.2879

---

(4)
This record from the Alexandria database describes a geometry-optimized MgPa2BeN4 structure. The functional is PBE.

Properties
E_form (uncorrected)   -0.955 eV per atom
Space group   C2/c
Fermi-level density of states   12.77 states/eV/cell

a b c (Å): 6.6374 6.6374 7.2583
angles (deg): 122.63 122.63 76.75
Element x y z (fractional)
Mg 0.0000 0.5000 0.0000
Mg 0.5000 0.0000 0.5000
Pa 0.0000 0.0000 0.0000
Pa 0.0000 0.0000 0.5000
Pa 0.0000 0.5000 0.5000
Pa 0.5000 0.0000 0.0000
Be 0.5000 0.5000 0.0000
Be 0.5000 0.5000 0.5000
N 0.1692 0.1984 0.9303
N 0.1984 0.1692 0.4303
N 0.2997 0.6945 0.9684
N 0.3055 0.7003 0.5316
N 0.6945 0.2997 0.4684
N 0.7003 0.3055 0.0316
N 0.8016 0.8308 0.5697
N 0.8308 0.8016 0.0697

---

(5)
This record from the Alexandria database describes a geometry-optimized Mg2PaBeN4 structure. The functional is PBE.

Properties
E_form (uncorrected)   -0.888 eV per atom
Space group   Cmcm
Fermi-level density of states   8.44 states/eV/cell

a b c (Å): 5.3630 5.3630 10.5511
angles (deg): 90.00 90.00 145.35
Element x y z (fractional)
Mg 0.1322 0.8678 0.5475
Mg 0.1322 0.8678 0.9525
Mg 0.8678 0.1322 0.0475
Mg 0.8678 0.1322 0.4525
Pa 0.3903 0.6097 0.7500
Pa 0.6097 0.3903 0.2500
Be 0.3360 0.6640 0.2500
Be 0.6640 0.3360 0.7500
N 0.0615 0.9385 0.7500
N 0.2262 0.7738 0.1304
N 0.2262 0.7738 0.3696
N 0.5000 0.5000 0.0000
N 0.5000 0.5000 0.5000
N 0.7738 0.2262 0.6304
N 0.7738 0.2262 0.8696
N 0.9385 0.0615 0.2500

---

(6)
This record from the Alexandria database describes a geometry-optimized PrMgBeN2 structure. The functional is PBE.

Properties
E_form (uncorrected)   -0.720 eV per atom
Space group   P2/c
Fermi-level density of states   2.95 states/eV/cell

a b c (Å): 5.6688 4.0673 6.0227
angles (deg): 90.00 103.03 90.00
Element x y z (fractional)
Pr 0.0000 0.2304 0.2500
Pr 0.0000 0.7696 0.7500
Mg 0.5000 0.4850 0.7500
Mg 0.5000 0.5150 0.2500
Be 0.5000 0.0000 0.0000
Be 0.5000 0.0000 0.5000
N 0.2861 0.2523 0.9569
N 0.2861 0.7477 0.4569
N 0.7139 0.2523 0.5431
N 0.7139 0.7477 0.0431

---

(7)
This record from the Alexandria database describes a geometry-optimized PuMgBeN3 structure. The functional is PBE.

Properties
E_form (uncorrected)   -0.797 eV per atom
Space group   P2_1/m
Fermi-level density of states   10.67 states/eV/cell

a b c (Å): 6.3998 3.2670 7.3914
angles (deg): 90.00 99.61 90.00
Element x y z (fractional)
Pu 0.1697 0.2500 0.1783
Pu 0.8303 0.7500 0.8217
Mg 0.3428 0.7500 0.8583
Mg 0.6572 0.2500 0.1417
Be 0.4447 0.7500 0.3998
Be 0.5553 0.2500 0.6002
N 0.0975 0.2500 0.8802
N 0.3278 0.2500 0.4475
N 0.4197 0.7500 0.1634
N 0.5803 0.2500 0.8366
N 0.6722 0.7500 0.5525
N 0.9025 0.7500 0.1198

---

(8)
This record from the Alexandria database describes a geometry-optimized Mg2BeReN4 structure. The functional is PBE.

Properties
E_form (uncorrected)   -0.559 eV per atom
Space group   Pmn2_1
Fermi-level density of states   1.28 states/eV/cell

a b c (Å): 6.3954 5.6600 5.1423
angles (deg): 90.00 90.00 90.00
Element x y z (fractional)
Mg 0.2477 0.1682 0.0000
Mg 0.2523 0.8318 0.5000
Mg 0.7477 0.8318 0.5000
Mg 0.7523 0.1682 0.0000
Be 0.0000 0.3473 0.5075
Be 0.5000 0.6527 0.0075
Re 0.0000 0.6586 0.0055
Re 0.5000 0.3414 0.5055
N 0.0000 0.3620 0.8473
N 0.0000 0.6348 0.3678
N 0.2417 0.1955 0.4148
N 0.2583 0.8045 0.9148
N 0.5000 0.3652 0.8678
N 0.5000 0.6380 0.3473
N 0.7417 0.8045 0.9148
N 0.7583 0.1955 0.4148